Ag5HgF6: relaxed, PBE.

Results
Space-group type: C2/m, No. 12
Uncorrected energy in eV/cell: -37.37
Theoretical density in Mg/m³: 7.5
E_form (uncorrected) in eV per formula unit: -11.6

abc: 6.5667 6.5667 5.5349
angles: 101.29 101.29 120.48
With the nearest neighbours (Å) after each atom.
Fractional positions:
Ag: 0.0000 0.0000 0.0000  6 F 2.47-2.54
Ag: 0.1658 0.8342 0.5000  6 F 2.51-2.53
Ag: 0.3322 0.6678 0.0000  6 F 2.49-2.53
Ag: 0.6678 0.3322 0.0000  6 F 2.49-2.53
Ag: 0.8342 0.1658 0.5000  6 F 2.51-2.53
Hg: 0.5000 0.5000 0.5000  6 F 2.56-2.57
F: 0.0785 0.4166 0.2494  5 Ag 2.49-2.54, 1 Hg 2.56
F: 0.2483 0.2483 0.7580  5 Ag 2.47-2.53, 1 Hg 2.57
F: 0.4166 0.0785 0.2494  5 Ag 2.49-2.54, 1 Hg 2.56
F: 0.5834 0.9215 0.7506  5 Ag 2.49-2.54, 1 Hg 2.56
F: 0.7517 0.7517 0.2420  5 Ag 2.47-2.53, 1 Hg 2.57
F: 0.9215 0.5834 0.7506  5 Ag 2.49-2.54, 1 Hg 2.56